A plane-wave DFT calculation with PBE was carried out for a relaxed SmEr2C2 crystal.

abc: 6.415 6.415 6.415
angles: 146.82 134.04 57.85
Atoms (fractional coordinates):
Sm: 0.000 0.000 0.000
Er: 0.310 0.310 0.000
Er: 0.690 0.690 0.000
C: 0.167 0.667 0.500
C: 0.833 0.333 0.500

Output
* Fermi-level density of states: 0.45 states/eV per atom
* symmetry: No. 71
* total moment: 0.8 μB per formula unit
* ΔH_f (0 K): -207 meV per atom
* VASP energy: -6.67 eV per atom

A plane-wave DFT calculation with PBE was carried out for a relaxed Sm3ErC2 crystal.

abc: 8.430 8.430 12.589
angles: 128.28 128.28 24.88
Atoms (fractional coordinates):
Sm: 0.139 0.139 0.449
Sm: 0.142 0.142 0.953
Sm: 0.357 0.357 0.797
Sm: 0.643 0.643 0.203
Sm: 0.858 0.858 0.047
Sm: 0.861 0.861 0.551
Er: 0.356 0.356 0.297
Er: 0.644 0.644 0.703
C: 0.245 0.245 0.869
C: 0.253 0.253 0.376
C: 0.747 0.747 0.624
C: 0.755 0.755 0.131

Output
* Fermi-level density of states: 0.72 states/eV per atom
* symmetry: No. 12
* total moment: 0.5 μB per formula unit
* ΔH_f (0 K): -195 meV per atom
* VASP energy: -6.39 eV per atom

A plane-wave DFT calculation with PBE was carried out for a relaxed SmEr3C2 crystal.

abc: 7.179 7.179 7.413
angles: 119.08 119.08 59.99
Atoms (fractional coordinates):
Sm: 0.245 0.245 0.235
Sm: 0.755 0.755 0.765
Er: 0.236 0.739 0.214
Er: 0.261 0.261 0.786
Er: 0.261 0.764 0.786
Er: 0.739 0.236 0.214
Er: 0.739 0.739 0.214
Er: 0.764 0.261 0.786
C: 0.000 0.000 0.000
C: 0.000 0.500 0.000
C: 0.500 0.000 0.000
C: 0.500 0.500 0.000

Output
* Fermi-level density of states: 0.75 states/eV per atom
* symmetry: No. 12
* total moment: 0.9 μB per formula unit
* ΔH_f (0 K): -274 meV per atom
* VASP energy: -6.42 eV per atom

A plane-wave DFT calculation with PBE was carried out for a relaxed SmEr2C3 crystal.

abc: 6.971 6.971 6.971
angles: 132.29 84.01 115.56
Atoms (fractional coordinates):
Sm: 0.290 0.040 0.250
Sm: 0.710 0.960 0.750
Er: 0.091 0.668 0.423
Er: 0.254 0.332 0.923
Er: 0.746 0.668 0.077
Er: 0.909 0.332 0.577
C: 0.000 0.000 0.500
C: 0.000 0.122 0.122
C: 0.000 0.500 0.000
C: 0.000 0.878 0.878
C: 0.500 0.122 0.622
C: 0.500 0.878 0.378

Output
* Fermi-level density of states: 0.49 states/eV per atom
* symmetry: No. 74
* total moment: 0.0 μB per formula unit
* ΔH_f (0 K): -75 meV per atom
* VASP energy: -6.99 eV per atom

A plane-wave DFT calculation with PBE was carried out for a relaxed SmEr3C crystal.

abc: 5.009 5.009 5.009
angles: 90.00 90.00 90.00
Atoms (fractional coordinates):
Sm: 0.000 0.000 0.000
Er: 0.000 0.500 0.500
Er: 0.500 0.000 0.500
Er: 0.500 0.500 0.000
C: 0.500 0.500 0.500

Output
* Fermi-level density of states: 0.95 states/eV per atom
* symmetry: No. 221
* total moment: 0.0 μB per formula unit
* ΔH_f (0 K): -30 meV per atom
* VASP energy: -5.56 eV per atom

A plane-wave DFT calculation with PBE was carried out for a relaxed Sm3ErSn2C crystal.

abc: 8.850 8.850 8.850
angles: 148.55 147.78 45.65
Atoms (fractional coordinates):
Sm: 0.000 0.000 0.000
Sm: 0.339 0.839 0.500
Sm: 0.661 0.161 0.500
Er: 0.500 0.500 0.000
Sn: 0.138 0.638 0.500
Sn: 0.862 0.362 0.500
C: 0.500 0.000 0.500

Output
* Fermi-level density of states: 0.12 states/eV per atom
* symmetry: No. 71
* total moment: 0.0 μB per formula unit
* ΔH_f (0 K): -641 meV per atom
* VASP energy: -5.78 eV per atom

A plane-wave DFT calculation with PBE was carried out for a relaxed Sm2ErSnC crystal.

abc: 5.030 5.030 4.850
angles: 90.00 90.00 90.00
Atoms (fractional coordinates):
Sm: 0.000 0.500 0.000
Sm: 0.500 0.000 0.000
Er: 0.000 0.000 0.500
Sn: 0.500 0.500 0.500
C: 0.000 0.000 0.000

Output
* Fermi-level density of states: 0.44 states/eV per atom
* symmetry: No. 123
* total moment: 0.0 μB per formula unit
* ΔH_f (0 K): -566 meV per atom
* VASP energy: -6.01 eV per atom

A plane-wave DFT calculation with PBE was carried out for a relaxed Sm2ErTc2C4 crystal.

abc: 6.974 6.974 6.105
angles: 108.27 108.27 29.05
Atoms (fractional coordinates):
Sm: 0.133 0.133 0.031
Sm: 0.867 0.867 0.969
Er: 0.000 0.000 0.500
Tc: 0.322 0.322 0.505
Tc: 0.678 0.678 0.495
C: 0.220 0.220 0.705
C: 0.459 0.459 0.745
C: 0.541 0.541 0.255
C: 0.780 0.780 0.295

Output
* Fermi-level density of states: 0.61 states/eV per atom
* symmetry: No. 12
* total moment: 0.0 μB per formula unit
* ΔH_f (0 K): -52 meV per atom
* VASP energy: -8.01 eV per atom

A plane-wave DFT calculation with PBE was carried out for a relaxed Er3SnC crystal.

abc: 4.837 4.837 4.837
angles: 90.00 90.00 90.00
Atoms (fractional coordinates):
Er: 0.000 0.000 0.500
Er: 0.000 0.500 0.000
Er: 0.500 0.000 0.000
Sn: 0.500 0.500 0.500
C: 0.000 0.000 0.000

Output
* Fermi-level density of states: 0.41 states/eV per atom
* symmetry: No. 221
* total moment: 0.0 μB per formula unit
* ΔH_f (0 K): -655 meV per atom
* VASP energy: -6.04 eV per atom

A plane-wave DFT calculation with PBE was carried out for a relaxed Er4Sn2C crystal.

abc: 6.400 6.658 9.123
angles: 90.00 109.43 90.00
Atoms (fractional coordinates):
Er: 0.176 0.250 0.061
Er: 0.244 0.001 0.730
Er: 0.244 0.499 0.730
Er: 0.278 0.750 0.349
Er: 0.722 0.250 0.651
Er: 0.756 0.501 0.270
Er: 0.756 0.999 0.270
Er: 0.824 0.750 0.939
Sn: 0.226 0.250 0.420
Sn: 0.347 0.750 0.034
Sn: 0.653 0.250 0.966
Sn: 0.774 0.750 0.580
C: 0.075 0.250 0.803
C: 0.925 0.750 0.197

Output
* Fermi-level density of states: 0.30 states/eV per atom
* symmetry: No. 11
* total moment: 0.0 μB per formula unit
* ΔH_f (0 K): -492 meV per atom
* VASP energy: -5.56 eV per atom

A plane-wave DFT calculation with PBE was carried out for a relaxed Er6Sn2C crystal.

abc: 8.254 8.254 8.254
angles: 145.14 131.09 61.46
Atoms (fractional coordinates):
Er: 0.089 0.353 0.736
Er: 0.224 0.000 0.224
Er: 0.382 0.647 0.736
Er: 0.618 0.353 0.264
Er: 0.776 0.000 0.776
Er: 0.911 0.647 0.264
Sn: 0.331 0.831 0.500
Sn: 0.669 0.169 0.500
C: 0.000 0.500 0.500

Output
* Fermi-level density of states: 1.07 states/eV per atom
* symmetry: No. 71
* total moment: 0.1 μB per formula unit
* ΔH_f (0 K): -77 meV per atom
* VASP energy: -5.03 eV per atom

A plane-wave DFT calculation with PBE was carried out for a relaxed Er6SnC3 crystal.

abc: 6.976 6.976 6.976
angles: 55.12 55.12 55.12
Atoms (fractional coordinates):
Er: 0.001 0.338 0.661
Er: 0.043 0.955 0.486
Er: 0.338 0.661 0.001
Er: 0.486 0.043 0.955
Er: 0.661 0.001 0.338
Er: 0.955 0.486 0.043
Sn: 0.509 0.509 0.509
C: 0.073 0.073 0.073
C: 0.266 0.266 0.266
C: 0.738 0.738 0.738

Output
* Fermi-level density of states: 0.19 states/eV per atom
* symmetry: No. 146
* total moment: 0.0 μB per formula unit
* ΔH_f (0 K): -345 meV per atom
* VASP energy: -6.25 eV per atom

A plane-wave DFT calculation with PBE was carried out for a relaxed Er4SnC2 crystal.

abc: 14.155 14.155 14.155
angles: 14.50 14.50 14.50
Atoms (fractional coordinates):
Er: 0.124 0.124 0.124
Er: 0.272 0.272 0.272
Er: 0.728 0.728 0.728
Er: 0.876 0.876 0.876
Sn: 0.000 0.000 0.000
C: 0.427 0.427 0.427
C: 0.573 0.573 0.573

Output
* Fermi-level density of states: 0.51 states/eV per atom
* symmetry: No. 166
* total moment: 0.0 μB per formula unit
* ΔH_f (0 K): -459 meV per atom
* VASP energy: -6.27 eV per atom

A plane-wave DFT calculation with PBE was carried out for a relaxed Er5SnC crystal.

abc: 6.635 6.635 10.317
angles: 108.46 108.46 59.25
Atoms (fractional coordinates):
Er: 0.019 0.367 0.620
Er: 0.028 0.972 0.750
Er: 0.185 0.577 0.959
Er: 0.367 0.019 0.120
Er: 0.423 0.815 0.541
Er: 0.577 0.185 0.459
Er: 0.633 0.981 0.880
Er: 0.815 0.423 0.041
Er: 0.972 0.028 0.250
Er: 0.981 0.633 0.380
Sn: 0.494 0.506 0.250
Sn: 0.506 0.494 0.750
C: 0.000 0.000 0.000
C: 0.000 0.000 0.500

Output
* Fermi-level density of states: 0.86 states/eV per atom
* symmetry: No. 15
* total moment: 0.0 μB per formula unit
* ΔH_f (0 K): -257 meV per atom
* VASP energy: -5.41 eV per atom

A plane-wave DFT calculation with PBE was carried out for a relaxed Er3SnC crystal.

abc: 5.553 5.553 5.553
angles: 90.00 90.00 90.00
Atoms (fractional coordinates):
Er: 0.000 0.000 0.500
Er: 0.000 0.500 0.000
Er: 0.500 0.000 0.000
Sn: 0.000 0.000 0.000
C: 0.500 0.500 0.500

Output
* Fermi-level density of states: 0.69 states/eV per atom
* symmetry: No. 221
* total moment: 0.0 μB per formula unit
* ΔH_f (0 K): 1485 meV per atom
* VASP energy: -3.90 eV per atom

A plane-wave DFT calculation with PBE was carried out for a relaxed Er6Sn2C crystal.

abc: 6.820 6.820 6.820
angles: 60.00 60.00 60.00
Atoms (fractional coordinates):
Er: 0.246 0.246 0.754
Er: 0.246 0.754 0.246
Er: 0.246 0.754 0.754
Er: 0.754 0.246 0.246
Er: 0.754 0.246 0.754
Er: 0.754 0.754 0.246
Sn: 0.250 0.250 0.250
Sn: 0.750 0.750 0.750
C: 0.000 0.000 0.000

Output
* Fermi-level density of states: 0.77 states/eV per atom
* symmetry: No. 225
* total moment: 0.0 μB per formula unit
* ΔH_f (0 K): -514 meV per atom
* VASP energy: -5.47 eV per atom

A plane-wave DFT calculation with PBE was carried out for a relaxed Er12Sn5C2 crystal.

abc: 9.132 9.132 9.359
angles: 105.09 105.09 48.09
Atoms (fractional coordinates):
Er: 0.002 0.002 0.179
Er: 0.099 0.602 0.427
Er: 0.101 0.594 0.923
Er: 0.398 0.901 0.573
Er: 0.406 0.899 0.077
Er: 0.498 0.498 0.170
Er: 0.502 0.502 0.830
Er: 0.594 0.101 0.923
Er: 0.602 0.099 0.427
Er: 0.899 0.406 0.077
Er: 0.901 0.398 0.573
Er: 0.998 0.998 0.821
Sn: 0.186 0.186 0.840
Sn: 0.194 0.194 0.349
Sn: 0.500 0.500 0.500
Sn: 0.806 0.806 0.651
Sn: 0.814 0.814 0.160
C: 0.250 0.750 0.000
C: 0.750 0.250 0.000

Output
* Fermi-level density of states: 0.89 states/eV per atom
* symmetry: No. 12
* total moment: 4.0 μB per formula unit
* ΔH_f (0 K): -365 meV per atom
* VASP energy: -5.27 eV per atom

A plane-wave DFT calculation with PBE was carried out for a relaxed Er9Sn3C2 crystal.

abc: 6.825 6.825 8.366
angles: 90.00 90.00 120.00
Atoms (fractional coordinates):
Er: 0.000 0.500 0.000
Er: 0.169 0.338 0.669
Er: 0.169 0.831 0.669
Er: 0.338 0.169 0.331
Er: 0.500 0.000 0.000
Er: 0.500 0.500 0.000
Er: 0.662 0.831 0.669
Er: 0.831 0.169 0.331
Er: 0.831 0.662 0.331
Sn: 0.000 0.000 0.000
Sn: 0.333 0.667 0.334
Sn: 0.667 0.333 0.666
C: 0.333 0.667 0.831
C: 0.667 0.333 0.169

Output
* Fermi-level density of states: 0.85 states/eV per atom
* symmetry: No. 164
* total moment: 0.0 μB per formula unit
* ΔH_f (0 K): -564 meV per atom
* VASP energy: -5.67 eV per atom

A plane-wave DFT calculation with PBE was carried out for a relaxed Er7Sn2C2 crystal.

abc: 9.100 9.100 9.100
angles: 157.98 73.07 111.36
Atoms (fractional coordinates):
Er: 0.000 0.000 0.000
Er: 0.028 0.685 0.343
Er: 0.071 0.379 0.691
Er: 0.343 0.685 0.657
Er: 0.427 0.566 0.861
Er: 0.688 0.379 0.309
Er: 0.705 0.566 0.139
Sn: 0.322 0.322 0.000
Sn: 0.739 0.239 0.500
C: 0.288 0.051 0.237
C: 0.814 0.051 0.763

Output
* Fermi-level density of states: 0.62 states/eV per atom
* symmetry: No. 44
* total moment: 0.0 μB per formula unit
* ΔH_f (0 K): -275 meV per atom
* VASP energy: -5.58 eV per atom

A plane-wave DFT calculation with PBE was carried out for a relaxed Er7Sn3C2 crystal.

abc: 13.095 13.095 13.095
angles: 158.89 158.89 30.03
Atoms (fractional coordinates):
Er: 0.000 0.000 0.000
Er: 0.096 0.596 0.500
Er: 0.194 0.194 0.000
Er: 0.404 0.904 0.500
Er: 0.596 0.096 0.500
Er: 0.806 0.806 0.000
Er: 0.904 0.404 0.500
Sn: 0.319 0.319 0.000
Sn: 0.500 0.500 0.000
Sn: 0.681 0.681 0.000
C: 0.097 0.097 0.000
C: 0.903 0.903 0.000

Output
* Fermi-level density of states: 0.34 states/eV per atom
* symmetry: No. 139
* total moment: 0.0 μB per formula unit
* ΔH_f (0 K): -673 meV per atom
* VASP energy: -5.87 eV per atom